## w
Here is Mg2ScCd4 after structural relaxation from Alexandria via LeMat-Bulk. Energies are from PBE.

```
Mg2ScCd4
1.0
-2.325 0.936 -2.094
-0.750 -3.060 -0.535
-9.624 2.001 11.583
Mg Sc Cd
2 1 4
Direct
0.500 0.794 0.588
0.500 0.206 0.412
0.000 0.500 0.000
0.500 0.931 0.862
0.500 0.069 0.138
0.000 0.361 0.722
0.000 0.639 0.278
```

Summary:
* crystal system: orthorhombic
* total magnetization: 0.37 μB per cell
* N(E_F): 0.521 states/eV per atom
* space group: Cmmm

## x
Here is Mg2ScCd4 after structural relaxation from Alexandria via LeMat-Bulk. Energies are from PBE.

```
Mg2ScCd4
1.0
-3.860 -2.605 -1.446
-1.864 -3.426 2.927
-6.718 3.341 3.695
Mg Sc Cd
2 1 4
Direct
0.256 0.256 0.233
0.744 0.744 0.767
0.000 0.000 0.000
0.129 0.129 0.613
0.871 0.871 0.387
0.387 0.387 0.840
0.613 0.613 0.160
```

Summary:
* crystal system: trigonal
* total magnetization: 0.00 μB per cell
* N(E_F): 0.482 states/eV per atom
* space group: R-3m

Least stable: w

## w
Here is Mg2ScCd3 after structural relaxation from Alexandria via LeMat-Bulk. Energies are from PBE.

```
Mg2ScCd3
1.0
4.749 0.012 0.019
2.392 7.183 0.009
-0.030 0.000 7.577
Cd Mg Sc
6 4 2
Direct
0.500 0.000 0.753
0.834 0.334 0.744
0.166 0.666 0.744
0.500 0.000 0.247
0.166 0.666 0.256
0.834 0.334 0.256
0.000 0.000 0.500
0.000 0.000 0.000
0.661 0.674 0.500
0.339 0.326 0.500
0.333 0.334 0.000
0.667 0.666 0.000
```

Summary:
* crystal system: monoclinic
* total magnetization: 0.00 μB per cell
* N(E_F): 0.382 states/eV per atom
* space group: P2/m

## x
Here is Mg2ScCd3 after structural relaxation from Alexandria via LeMat-Bulk. Energies are from PBE.

```
Mg2ScCd3
1.0
3.262 0.000 0.000
0.000 3.262 0.000
0.000 0.000 12.199
Mg Cd Sc
2 3 1
Direct
0.500 0.500 0.165
0.500 0.500 0.835
0.000 0.000 0.000
0.000 0.000 0.330
0.000 0.000 0.670
0.500 0.500 0.500
```

Summary:
* crystal system: tetragonal
* total magnetization: 0.39 μB per cell
* N(E_F): 0.600 states/eV per atom
* space group: P4/mmm

Least stable: x

## w
Here is Mg3ScCd3 after structural relaxation from Alexandria via LeMat-Bulk. Energies are from PBE.

```
Mg3ScCd3
1.0
-2.079 -1.554 8.176
4.272 -7.432 -0.326
7.143 3.993 2.575
Mg Cd Sc
12 12 4
Direct
0.683 0.317 0.817
0.317 0.817 0.683
0.183 0.183 0.183
0.630 0.130 0.370
0.370 0.630 0.130
0.870 0.870 0.870
0.817 0.683 0.317
0.166 0.834 0.334
0.834 0.334 0.166
0.334 0.166 0.834
0.130 0.370 0.630
0.666 0.666 0.666
0.990 0.189 0.886
0.510 0.811 0.386
0.311 0.114 0.490
0.886 0.990 0.189
0.010 0.689 0.614
0.490 0.311 0.114
0.114 0.490 0.311
0.386 0.510 0.811
0.689 0.614 0.010
0.189 0.886 0.990
0.811 0.386 0.510
0.614 0.010 0.689
0.955 0.045 0.545
0.545 0.955 0.045
0.455 0.455 0.455
0.045 0.545 0.955
```

Summary:
* crystal system: cubic
* total magnetization: 0.00 μB per cell
* N(E_F): 0.660 states/eV per atom
* space group: P2_13

## x
Here is Mg3ScCd3 after structural relaxation from Alexandria via LeMat-Bulk. Energies are from PBE.

```
Mg3ScCd3
1.0
-4.924 1.859 6.471
-8.086 -2.040 -0.191
-3.233 -4.635 4.247
Mg Cd Sc
6 6 2
Direct
0.051 0.886 0.743
0.321 0.051 0.743
0.114 0.679 0.257
0.949 0.114 0.257
0.886 0.321 0.743
0.679 0.949 0.257
0.618 0.169 0.750
0.169 0.463 0.750
0.382 0.831 0.250
0.537 0.382 0.250
0.463 0.618 0.750
0.831 0.537 0.250
0.740 0.740 0.779
0.260 0.260 0.221
```

Summary:
* crystal system: trigonal
* total magnetization: 0.00 μB per cell
* N(E_F): 0.513 states/eV per atom
* space group: R-3

Least stable: w

## w
Here is Mg5ScCd4 after structural relaxation from Alexandria via LeMat-Bulk. Energies are from PBE.

```
Mg5ScCd4
1.0
-0.844 -4.715 -1.139
5.902 -0.507 -2.271
1.031 0.569 7.522
Cd Mg Sc
4 5 1
Direct
0.294 0.669 0.588
0.096 0.832 0.193
0.904 0.168 0.807
0.706 0.331 0.412
0.294 0.165 0.588
0.706 0.835 0.412
0.500 0.500 0.000
0.103 0.336 0.206
0.897 0.664 0.794
0.500 0.000 0.000
```

Summary:
* crystal system: monoclinic
* total magnetization: 0.00 μB per cell
* N(E_F): 0.490 states/eV per atom
* space group: C2/m

## x
Here is Mg5ScCd4 after structural relaxation from Alexandria via LeMat-Bulk. Energies are from PBE.

```
Mg5ScCd4
1.0
3.549 0.000 0.000
0.000 3.549 0.000
0.000 0.000 17.396
Cd Mg Sc
4 5 1
Direct
0.000 0.000 0.403
0.000 0.000 0.597
0.000 0.000 0.794
0.000 0.000 0.206
0.500 0.500 0.890
0.500 0.500 0.694
0.500 0.500 0.306
0.500 0.500 0.500
0.500 0.500 0.110
0.000 0.000 0.000
```

Summary:
* crystal system: tetragonal
* total magnetization: 0.36 μB per cell
* N(E_F): 0.487 states/eV per atom
* space group: P4/mmm

Least stable: x